# Nd12Tl6Ir (PBE, relaxed)
data_Nd12Tl6Ir
_symmetry_space_group_name_H-M 'R -3'
_symmetry_Int_Tables_number 148
_symmetry_space_group_name_Hall '-R 3'
_cell_length_a 12.5737
_cell_length_b 12.5737
_cell_length_c 13.8344
_cell_angle_alpha 90.00
_cell_angle_beta 90.00
_cell_angle_gamma 120.00
loop_
_atom_site_label
_atom_site_fract_x
_atom_site_fract_y
_atom_site_fract_z
Nd1 0.0357 0.8449 0.3911
Nd2 0.0374 0.1911 0.8746
Tl1 0.0079 0.6079 0.2621
Ir1 0.0000 0.0000 0.0000
# ρ ... 8.3 Mg/m³
# E ... -0.1633 Ha/atom
# Total magnetic moment ... 0.0 μB/cell


# Nd4TlIr2 (PBE, relaxed)
data_Nd4TlIr2
_symmetry_space_group_name_H-M 'R -3 m'
_symmetry_Int_Tables_number 166
_symmetry_space_group_name_Hall '-R 3 2"'
_cell_length_a 4.3203
_cell_length_b 4.3203
_cell_length_c 39.3465
_cell_angle_alpha 90.00
_cell_angle_beta 90.00
_cell_angle_gamma 120.00
loop_
_atom_site_label
_atom_site_fract_x
_atom_site_fract_y
_atom_site_fract_z
Nd1 0.0000 0.0000 0.1074
Nd2 0.0000 0.0000 0.2978
Tl1 0.0000 0.0000 0.5000
Ir1 0.0000 0.0000 0.4036
# ρ ... 9.1 Mg/m³
# E ... -0.2238 Ha/atom
# Total magnetic moment ... 0.0 μB/cell


# Nd11Tl9Ir4 (PBE, relaxed)
data_Nd11Tl9Ir4
_symmetry_space_group_name_H-M 'C m m m'
_symmetry_Int_Tables_number 65
_symmetry_space_group_name_Hall '-C 2 2'
_cell_length_a 15.1112
_cell_length_b 22.5523
_cell_length_c 3.8467
_cell_angle_alpha 90.00
_cell_angle_beta 90.00
_cell_angle_gamma 90.00
loop_
_atom_site_label
_atom_site_fract_x
_atom_site_fract_y
_atom_site_fract_z
Nd1 0.0000 0.0000 0.0000
Nd2 0.0000 0.1635 0.0000
Nd3 0.0000 0.3740 0.0000
Nd4 0.1881 0.5000 0.0000
Nd5 0.2503 0.1674 0.0000
Tl1 0.0000 0.5000 0.5000
Tl2 0.1064 0.2612 0.5000
Tl3 0.1438 0.0721 0.5000
Ir1 0.1514 0.3995 0.5000
# ρ ... 10.6 Mg/m³
# E ... -0.1855 Ha/atom
# Total magnetic moment ... 0.0 μB/cell


# Nd6Tl3Ir (PBE, relaxed)
data_Nd6Tl3Ir
_symmetry_space_group_name_H-M 'C m c 21'
_symmetry_Int_Tables_number 36
_cell_length_a 9.3914
_cell_length_b 12.0613
_cell_length_c 11.0192
_cell_angle_alpha 90.00
_cell_angle_beta 90.00
_cell_angle_gamma 90.00
loop_
_symmetry_equiv_pos_as_xyz
'x,y,z'
'-x,-y,z+1/2'
'-x,y,z'
'x,-y,z+1/2'
'x+1/2,y+1/2,z'
'-x+1/2,-y+1/2,z+1/2'
'-x+1/2,y+1/2,z'
'x+1/2,-y+1/2,z+1/2'
loop_
_atom_site_label
_atom_site_fract_x
_atom_site_fract_y
_atom_site_fract_z
Nd1 0.0000 0.0362 0.0000
Nd2 0.0000 0.3098 0.8316
Nd3 0.1833 0.4156 0.2882
Nd4 0.1878 0.2303 0.5466
Tl1 0.0000 0.4789 0.5481
Tl2 0.1541 0.1405 0.2679
Ir1 0.0000 0.1038 0.7089
# ρ ... 8.9 Mg/m³
# E ... -0.1729 Ha/atom
# Total magnetic moment ... 0.0 μB/cell


# Nd3TlIr (PBE, relaxed)
data_Nd3TlIr
_symmetry_space_group_name_H-M 'P n m a'
_symmetry_Int_Tables_number 62
_cell_length_a 8.3541
_cell_length_b 4.7853
_cell_length_c 14.7740
_cell_angle_alpha 90.00
_cell_angle_beta 90.00
_cell_angle_gamma 90.00
loop_
_symmetry_equiv_pos_as_xyz
'x,y,z'
'-x,-y,-z'
'-x+1/2,-y,z+1/2'
'x+1/2,y,-z+1/2'
'x+1/2,-y+1/2,-z+1/2'
'-x+1/2,y+1/2,z+1/2'
'-x,y+1/2,-z'
'x,-y+1/2,z'
loop_
_atom_site_label
_atom_site_fract_x
_atom_site_fract_y
_atom_site_fract_z
Nd1 0.0074 0.2500 0.1064
Nd2 0.1393 0.7500 0.4826
Nd3 0.1697 0.2500 0.7147
Tl1 0.1174 0.2500 0.3278
Ir1 0.1975 0.7500 0.0466
# ρ ... 9.3 Mg/m³
# Energy above the lowest structure with this stoichiometry ... 0.000 eV per atom
# Total magnetic moment ... 0.0 μB/cell


# Nd3TlIr (PBE, relaxed)
data_Nd3TlIr
_symmetry_space_group_name_H-M 'P m -3 m'
_symmetry_Int_Tables_number 221
_symmetry_space_group_name_Hall '-P 4 2 3'
_cell_length_a 5.5466
_cell_length_b 5.5466
_cell_length_c 5.5466
_cell_angle_alpha 90.00
_cell_angle_beta 90.00
_cell_angle_gamma 90.00
loop_
_atom_site_label
_atom_site_fract_x
_atom_site_fract_y
_atom_site_fract_z
Nd1 0.0000 0.0000 0.5000
Tl1 0.5000 0.5000 0.5000
Ir1 0.0000 0.0000 0.0000
# ρ ... 8.1 Mg/m³
# Energy above the lowest structure with this stoichiometry ... 0.210 eV per atom
# Total magnetic moment ... 0.0 μB/cell


# Nd5TlIr2 (PBE, relaxed)
data_Nd5TlIr2
_symmetry_space_group_name_H-M 'I 4/m c m'
_symmetry_Int_Tables_number 140
_symmetry_space_group_name_Hall '-I 4 2c'
_cell_length_a 8.0184
_cell_length_b 8.0184
_cell_length_c 14.1601
_cell_angle_alpha 90.00
_cell_angle_beta 90.00
_cell_angle_gamma 90.00
loop_
_atom_site_label
_atom_site_fract_x
_atom_site_fract_y
_atom_site_fract_z
Nd1 0.0000 0.0000 0.0000
Nd2 0.1623 0.3377 0.1316
Tl1 0.0000 0.0000 0.2500
Ir1 0.1373 0.3627 0.5000
# ρ ... 9.6 Mg/m³
# E ... -0.2214 Ha/atom
# Total magnetic moment ... 0.0 μB/cell


# Nd4Tl2Ir (PBE, relaxed)
data_Nd4Tl2Ir
_symmetry_space_group_name_H-M 'C 1 2/m 1'
_symmetry_Int_Tables_number 12
_cell_length_a 11.6874
_cell_length_b 4.7737
_cell_length_c 9.0595
_cell_angle_alpha 90.00
_cell_angle_beta 123.24
_cell_angle_gamma 90.00
loop_
_symmetry_equiv_pos_as_xyz
'x,y,z'
'-x,-y,-z'
'-x,y,-z'
'x,-y,z'
'x+1/2,y+1/2,z'
'-x+1/2,-y+1/2,-z'
'-x+1/2,y+1/2,-z'
'x+1/2,-y+1/2,z'
loop_
_atom_site_label
_atom_site_fract_x
_atom_site_fract_y
_atom_site_fract_z
Nd1 0.0738 0.0000 0.3538
Nd2 0.1689 0.5000 0.0587
Tl1 0.1512 0.5000 0.6676
Ir1 0.0000 0.0000 0.0000
# ρ ... 9.3 Mg/m³
# Energy above the lowest structure with this stoichiometry ... 0.000 eV per atom
# Total magnetic moment ... 0.0 μB/cell